(1)
An optimized crystal structure of ZrSi3Sb, computed with GGA-PBE.

Lattice parameters (Å, degrees): 5.0195 5.0195 5.0195 90.00 90.00 90.00
Last column: nearest neighbours and their distance in Å.
Fractional positions:
Sb 0.0000 0.0000 0.0000  6 Si 2.51
Si 0.0000 0.5000 0.0000  2 Sb 2.51
Si 0.0000 0.0000 0.5000  2 Sb 2.51
Si 0.5000 0.0000 0.0000  2 Sb 2.51
Zr 0.5000 0.5000 0.5000  12 Si 3.55

The offset from the most stable computed form comes out at 462 meV per atom. The value obtained for the uncorrected formation energy is 6.68 eV/f.u. As for the total magnetic moment: 0.0 μB per cell. Its space group is Pm-3m. Its mass density is 3.90 g/cm³. As for the electronic total energy: -0.327 Ry per atom.

(2)
An optimized crystal structure of PtRhAu2, computed with GGA-PBE.

Lattice parameters (Å, degrees): 2.8083 4.8645 4.8641 90.00 90.00 90.00
Last column: nearest neighbours and their distance in Å.
Fractional positions:
Pt 0.5000 0.5000 0.0000  4 Rh 2.81, 2 Pt 2.81, 4 Au 2.81
Rh 0.0000 0.5000 0.5000  4 Pt 2.81, 2 Rh 2.81, 4 Au 2.81
Au 0.0000 0.0000 0.0000  6 Au 2.81, 4 Pt 2.81
Au 0.5000 0.0000 0.5000  6 Au 2.81, 4 Rh 2.81

The offset from the most stable computed form comes out at 86 meV per atom. As for the total magnetic moment: 0.0 μB per cell. Its space group is Pmmm. Its mass density is 17.29 g/cm³. As for the electronic total energy: -0.355 Ry per atom.

The evaluated Fermi-level density of states for the records listed, in turn: 6.435 4.124 states/eV/f.u..